[1]
Below is a relaxed structure of ZrTiIn2, with properties calculated at the PBE level.

a b c (Å): 4.343 4.343 4.391
angles (deg): 90.00 90.00 90.00
Space group P4/mmm (No. 123)
Inequivalent atoms, fractional coordinates:
Zr  0.000  0.000  0.000 [1 per cell]
Ti  0.500  0.500  0.000 [1 per cell]
In  0.000  0.500  0.500 [2 per cell]

Calculated values
Energy above the most stable polymorph in this dataset in meV per atom: 0
VASP energy in eV/atom: -5.713
Energy of formation from the pure elements in eV/atom: -0.233

---

[2]
Below is a relaxed structure of Zr11Ti4In9, with properties calculated at the PBE level.

a b c (Å): 14.094 21.161 3.481
angles (deg): 90.00 90.00 90.00
Space group Cmmm (No. 65)
Inequivalent atoms, fractional coordinates:
Zr  0.000  0.000  0.000 [2 per cell]
Zr  0.000  0.157  0.000 [4 per cell]
Zr  0.000  0.366  0.000 [4 per cell]
Zr  0.201  0.500  0.000 [4 per cell]
Zr  0.237  0.174  0.000 [8 per cell]
Ti  0.146  0.403  0.500 [8 per cell]
In  0.000  0.500  0.500 [2 per cell]
In  0.108  0.263  0.500 [8 per cell]
In  0.144  0.074  0.500 [8 per cell]

Calculated values
VASP energy in eV/atom: -6.432
Energy of formation from the pure elements in eV/atom: -0.171

---

[3]
Below is a relaxed structure of ZrTiIn2, with properties calculated at the PBE level.

a b c (Å): 6.953 6.953 6.953
angles (deg): 90.00 90.00 90.00
Space group Fm-3m (No. 225)
Inequivalent atoms, fractional coordinates:
Zr  0.000  0.000  0.000 [4 per cell]
Ti  0.000  0.000  0.500 [4 per cell]
In  0.250  0.250  0.250 [8 per cell]

Calculated values
Energy above the most stable polymorph in this dataset in meV per atom: 174
VASP energy in eV/atom: -5.539
Energy of formation from the pure elements in eV/atom: -0.059